{"formula": "Sr2Li2AlHg5", "functional": "PBE", "state": "optimized geometry", "dos_ef_per_ev_atom": 0.45, "dft_energy_ev_per_atom": -1.5701, "space_group": "P4/mbm, No. 127", "vol_a3_per_cell": 478.2, "e_form_ev_per_atom": -0.326, "cell": [[3.8264, 0.0000, 0.0000], [0.0000, 11.1786, 0.0000], [0.0000, 0.0000, 11.1786]], "species": ["Hg", "Li", "Hg", "Li", "Hg", "Sr", "Hg", "Hg", "Al", "Al", "Hg", "Hg", "Hg", "Li", "Hg", "Sr", "Sr", "Sr", "Li", "Hg"], "fractional_positions": [[0.5000, 0.0577, 0.8047], [0.0000, 0.3788, 0.1212], [0.5000, 0.6953, 0.4423], [0.0000, 0.1212, 0.6212], [0.5000, 0.5000, 0.0000], [0.0000, 0.1796, 0.3204], [0.5000, 0.5577, 0.6953], [0.5000, 0.8047, 0.9423], [0.0000, 0.0000, 0.0000], [0.0000, 0.5000, 0.5000], [0.5000, 0.9423, 0.1953], [0.5000, 0.4423, 0.3047], [0.5000, 0.1953, 0.0577], [0.0000, 0.6212, 0.8788], [0.5000, 0.0000, 0.5000], [0.0000, 0.8204, 0.6796], [0.0000, 0.6796, 0.1796], [0.0000, 0.3204, 0.8204], [0.0000, 0.8788, 0.3788], [0.5000, 0.3047, 0.5577]]}